DFT (PBE) results for a relaxed structure of KBa2CaS.

The value obtained for the uncorrected formation energy is -0.6637 eV/atom.

The space group is P4/mmm (No. 123) and the conventional cell measures 6.5389, 6.5389 and 5.5989 Å, with angles of 90.00, 90.00 and 90.00 degrees. The asymmetric unit holds K at (0.0000, 0.0000, 0.0000), Ba at (0.0000, 0.5000, 0.5000), Ca at (0.5000, 0.5000, 0.0000) and S at (0.5000, 0.5000, 0.5000).


DFT (PBE) results for a relaxed structure of Ca5P12Rh19.

Its formation energy is -0.94 eV/atom.

The space group is P-62m (No. 189) and the conventional cell measures 12.6942, 12.6942 and 3.9249 Å, with angles of 90.00, 90.00 and 120.00 degrees. The asymmetric unit holds Ca at (0.0000, 0.8163, 0.0000), Ca at (0.3333, 0.6667, 0.5000), P at (0.0000, 0.1807, 0.5000), P at (0.0000, 0.6339, 0.5000), P at (0.1679, 0.4820, 0.0000), Rh at (0.0000, 0.0000, 0.5000), Rh at (0.0000, 0.2839, 0.0000), Rh at (0.0000, 0.4534, 0.5000), Rh at (0.1297, 0.6410, 0.0000) and Rh at (0.1810, 0.3765, 0.5000).


Copy entry 2 word for word.
DFT (PBE) results for a relaxed structure of Ca5P12Rh19.

Its formation energy is -0.94 eV/atom.

The space group is P-62m (No. 189) and the conventional cell measures 12.6942, 12.6942 and 3.9249 Å, with angles of 90.00, 90.00 and 120.00 degrees. The asymmetric unit holds Ca at (0.0000, 0.8163, 0.0000), Ca at (0.3333, 0.6667, 0.5000), P at (0.0000, 0.1807, 0.5000), P at (0.0000, 0.6339, 0.5000), P at (0.1679, 0.4820, 0.0000), Rh at (0.0000, 0.0000, 0.5000), Rh at (0.0000, 0.2839, 0.0000), Rh at (0.0000, 0.4534, 0.5000), Rh at (0.1297, 0.6410, 0.0000) and Rh at (0.1810, 0.3765, 0.5000).